Material: Zr2MnRu2
Method: DFT, PBE-GGA
State: relaxed

Cell and atoms, written as POSCAR:
```
Zr2MnRu2
1.0
6.3434 0.0000 0.0000
0.0000 6.3434 0.0000
0.0000 0.0000 4.3075
Zr Mn Ru
4 2 4
Direct
0.1784 0.3216 0.0000
0.3216 0.8216 0.0000
0.6784 0.1784 0.0000
0.8216 0.6784 0.0000
0.0000 0.0000 0.5000
0.5000 0.5000 0.5000
0.1440 0.6440 0.5000
0.3560 0.1440 0.5000
0.6440 0.8560 0.5000
0.8560 0.3560 0.5000
```

symmetry = P4/mbm (127)
formation energy from the elements = -58 kJ/mol of formula units
final energy = -9.084 eV/atom
DOS(E_F) = 15.4 states/eV/cell
ΔE to the lowest computed polymorph = 0.000 eV per atom

=====

Material: ZrMn2Ru
Method: DFT, PBE-GGA
State: relaxed

Cell and atoms, written as POSCAR:
```
ZrMn2Ru
1.0
4.4326 0.0000 0.0000
0.0000 4.4326 0.0000
0.0000 0.0000 6.2976
Zr Mn Ru
2 4 2
Direct
0.0000 0.0000 0.0000
0.5000 0.5000 0.5000
0.0000 0.0000 0.5000
0.0000 0.5000 0.7500
0.5000 0.0000 0.2500
0.5000 0.5000 0.0000
0.0000 0.5000 0.2500
0.5000 0.0000 0.7500
```

symmetry = I-4m2 (119)
formation energy from the elements = -29 kJ/mol of formula units
final energy = -9.116 eV/atom
DOS(E_F) = 4.8 states/eV/cell
ΔE to the lowest computed polymorph = 0.005 eV per atom

=====

Material: ZrMn2Ru2
Method: DFT, PBE-GGA
State: relaxed

Cell and atoms, written as POSCAR:
```
ZrMn2Ru2
1.0
3.8897 0.0000 0.0000
0.0000 3.8897 0.0000
0.0000 0.0000 10.2889
Zr Mn Ru
2 4 4
Direct
0.0000 0.0000 0.0000
0.5000 0.5000 0.5000
0.0000 0.5000 0.2500
0.0000 0.5000 0.7500
0.5000 0.0000 0.2500
0.5000 0.0000 0.7500
0.0000 0.0000 0.3837
0.0000 0.0000 0.6163
0.5000 0.5000 0.1163
0.5000 0.5000 0.8837
```

symmetry = I4/mmm (139)
formation energy from the elements = 47 kJ/mol of formula units
final energy = -8.990 eV/atom
DOS(E_F) = 9.2 states/eV/cell
ΔE to the lowest computed polymorph = 0.106 eV per atom

=====

Material: ZrMn2Ru
Method: DFT, PBE-GGA
State: relaxed

Cell and atoms, written as POSCAR:
```
ZrMn2Ru
1.0
2.8385 0.0000 0.0000
-1.4193 2.4582 0.0000
0.0000 0.0000 26.8280
Zr Mn Ru
3 6 3
Direct
0.0000 0.0000 0.0000
0.3333 0.6667 0.6667
0.6667 0.3333 0.3333
0.0000 0.0000 0.2421
0.0000 0.0000 0.7579
0.3333 0.6667 0.4246
0.3333 0.6667 0.9088
0.6667 0.3333 0.0912
0.6667 0.3333 0.5754
0.0000 0.0000 0.5000
0.3333 0.6667 0.1667
0.6667 0.3333 0.8333
```

symmetry = R-3m (166)
formation energy from the elements = 129 kJ/mol of formula units
final energy = -8.708 eV/atom
DOS(E_F) = 13.4 states/eV/cell
ΔE to the lowest computed polymorph = 0.413 eV per atom

=====

Material: ZrMn2Ru
Method: DFT, PBE-GGA
State: relaxed

Cell and atoms, written as POSCAR:
```
ZrMn2Ru
1.0
3.1943 0.0000 0.0000
0.0000 4.4103 0.0000
0.0000 0.0000 9.1270
Zr Mn Ru
2 4 2
Direct
0.0000 0.0000 0.0000
0.5000 0.5000 0.5000
0.0000 0.5000 0.2307
0.0000 0.5000 0.7693
0.5000 0.0000 0.2693
0.5000 0.0000 0.7307
0.0000 0.0000 0.5000
0.5000 0.5000 0.0000
```

symmetry = Immm (71)
formation energy from the elements = 7 kJ/mol of formula units
final energy = -9.023 eV/atom
DOS(E_F) = 8.2 states/eV/cell
ΔE to the lowest computed polymorph = 0.098 eV per atom

=====

Material: Zr4MnRu
Method: DFT, PBE-GGA
State: relaxed

Cell and atoms, written as POSCAR:
```
Zr4MnRu
1.0
0.0000 3.9581 3.9581
3.9581 0.0000 3.9581
3.9581 3.9581 0.0000
Zr Mn Ru
4 1 1
Direct
0.3758 0.3758 0.3758
0.3758 0.3758 0.8726
0.3758 0.8726 0.3758
0.8726 0.3758 0.3758
0.0000 0.0000 0.0000
0.7500 0.7500 0.7500
```

symmetry = F-43m (216)
formation energy from the elements = 351 kJ/mol of formula units
final energy = -8.166 eV/atom
DOS(E_F) = 9.9 states/eV/cell

=====

Material: ZrMn2Ru
Method: DFT, PBE-GGA
State: relaxed

Cell and atoms, written as POSCAR:
```
ZrMn2Ru
1.0
7.0849 0.0000 0.0000
0.0000 7.0849 0.0000
0.0000 0.0000 5.3349
Zr Mn Ru
4 8 4
Direct
0.0000 0.0000 0.0000
0.0000 0.5000 0.2500
0.5000 0.0000 0.7500
0.5000 0.5000 0.5000
0.2136 0.2500 0.6250
0.2500 0.7136 0.8750
0.2500 0.7864 0.3750
0.2864 0.2500 0.1250
0.7136 0.7500 0.1250
0.7500 0.2136 0.3750
0.7500 0.2864 0.8750
0.7864 0.7500 0.6250
0.0000 0.0000 0.5000
0.0000 0.5000 0.7500
0.5000 0.0000 0.2500
0.5000 0.5000 0.0000
```

symmetry = I-42d (122)
formation energy from the elements = 131 kJ/mol of formula units
final energy = -8.700 eV/atom
DOS(E_F) = 13.5 states/eV/cell
ΔE to the lowest computed polymorph = 0.421 eV per atom

=====

Material: ZrMnRu2
Method: DFT, PBE-GGA
State: relaxed

Cell and atoms, written as POSCAR:
```
ZrMnRu2
1.0
7.0144 0.0000 0.0000
0.0000 7.0144 0.0000
0.0000 0.0000 5.3163
Zr Mn Ru
4 4 8
Direct
0.0000 0.0000 0.0000
0.0000 0.5000 0.2500
0.5000 0.0000 0.7500
0.5000 0.5000 0.5000
0.0000 0.0000 0.5000
0.0000 0.5000 0.7500
0.5000 0.0000 0.2500
0.5000 0.5000 0.0000
0.1925 0.2500 0.6250
0.2500 0.6925 0.8750
0.2500 0.8075 0.3750
0.3075 0.2500 0.1250
0.6925 0.7500 0.1250
0.7500 0.1925 0.3750
0.7500 0.3075 0.8750
0.8075 0.7500 0.6250
```

symmetry = I-42d (122)
formation energy from the elements = 103 kJ/mol of formula units
final energy = -8.801 eV/atom
DOS(E_F) = 12.8 states/eV/cell

=====

Material: ZrMn2Ru
Method: DFT, PBE-GGA
State: relaxed

Cell and atoms, written as POSCAR:
```
ZrMn2Ru
1.0
3.0816 0.0000 0.0000
0.0000 3.0816 0.0000
0.0000 0.0000 6.5762
Zr Mn Ru
1 2 1
Direct
0.0000 0.0000 0.0000
0.5000 0.5000 0.2875
0.5000 0.5000 0.7125
0.0000 0.0000 0.5000
```

symmetry = P4/mmm (123)
formation energy from the elements = 33 kJ/mol of formula units
final energy = -8.955 eV/atom
DOS(E_F) = 4.8 states/eV/cell
ΔE to the lowest computed polymorph = 0.165 eV per atom

=====

Material: Zr2MnRu2
Method: DFT, PBE-GGA
State: relaxed

Cell and atoms, written as POSCAR:
```
Zr2MnRu2
1.0
4.3981 0.0000 0.0000
0.0000 4.3981 0.0000
0.0000 0.0000 10.5054
Zr Mn Ru
4 2 4
Direct
0.0000 0.5000 0.2500
0.0000 0.5000 0.7500
0.5000 0.0000 0.2500
0.5000 0.0000 0.7500
0.0000 0.0000 0.0000
0.5000 0.5000 0.5000
0.0000 0.0000 0.3867
0.0000 0.0000 0.6133
0.5000 0.5000 0.1133
0.5000 0.5000 0.8867
```

symmetry = I4/mmm (139)
formation energy from the elements = 349 kJ/mol of formula units
final energy = -8.239 eV/atom
DOS(E_F) = 16.9 states/eV/cell
ΔE to the lowest computed polymorph = 0.845 eV per atom

=====

Material: ZrMnRu2
Method: DFT, PBE-GGA
State: relaxed

Cell and atoms, written as POSCAR:
```
ZrMnRu2
1.0
2.8304 0.0000 0.0000
-1.4152 2.4512 0.0000
0.0000 0.0000 27.3708
Zr Mn Ru
3 3 6
Direct
0.0000 0.0000 0.0000
0.3333 0.6667 0.6667
0.6667 0.3333 0.3333
0.0000 0.0000 0.2445
0.3333 0.6667 0.9111
0.6667 0.3333 0.5778
0.0000 0.0000 0.5006
0.0000 0.0000 0.7589
0.3333 0.6667 0.1672
0.3333 0.6667 0.4255
0.6667 0.3333 0.0922
0.6667 0.3333 0.8339
```

symmetry = R3m (160)
formation energy from the elements = 104 kJ/mol of formula units
final energy = -8.798 eV/atom
DOS(E_F) = 13.8 states/eV/cell

=====

Material: ZrMn4Ru
Method: DFT, PBE-GGA
State: relaxed

Cell and atoms, written as POSCAR:
```
ZrMn4Ru
1.0
0.0000 3.3964 3.3964
3.3964 0.0000 3.3964
3.3964 3.3964 0.0000
Zr Mn Ru
1 4 1
Direct
0.0000 0.0000 0.0000
0.1188 0.6271 0.6271
0.6271 0.1188 0.6271
0.6271 0.6271 0.1188
0.6271 0.6271 0.6271
0.2500 0.2500 0.2500
```

symmetry = F-43m (216)
formation energy from the elements = -24 kJ/mol of formula units
final energy = -9.125 eV/atom
DOS(E_F) = 8.2 states/eV/cell

=====

Material: ZrMn2Ru
Method: DFT, PBE-GGA
State: relaxed

Cell and atoms, written as POSCAR:
```
ZrMn2Ru
1.0
3.8663 0.0000 0.0000
0.0000 3.8663 0.0000
0.0000 0.0000 8.6378
Zr Mn Ru
2 4 2
Direct
0.0000 0.0000 0.0000
0.5000 0.5000 0.5000
0.0000 0.5000 0.2500
0.0000 0.5000 0.7500
0.5000 0.0000 0.2500
0.5000 0.0000 0.7500
0.0000 0.0000 0.5000
0.5000 0.5000 0.0000
```

symmetry = I4/mmm (139)
formation energy from the elements = 25 kJ/mol of formula units
final energy = -8.976 eV/atom
DOS(E_F) = 10.5 states/eV/cell
ΔE to the lowest computed polymorph = 0.144 eV per atom

=====

Material: ZrMn2Ru
Method: DFT, PBE-GGA
State: relaxed

Cell and atoms, written as POSCAR:
```
ZrMn2Ru
1.0
2.8134 0.0000 0.0000
-1.4067 2.4365 0.0000
0.0000 0.0000 26.8881
Zr Mn Ru
3 6 3
Direct
0.0000 0.0000 0.0000
0.3333 0.6667 0.6667
0.6667 0.3333 0.3333
0.0000 0.0000 0.2414
0.0000 0.0000 0.4999
0.3333 0.6667 0.1666
0.3333 0.6667 0.9081
0.6667 0.3333 0.5747
0.6667 0.3333 0.8332
0.0000 0.0000 0.7606
0.3333 0.6667 0.4273
0.6667 0.3333 0.0939
```

symmetry = R3m (160)
formation energy from the elements = 121 kJ/mol of formula units
final energy = -8.727 eV/atom
DOS(E_F) = 13.8 states/eV/cell
ΔE to the lowest computed polymorph = 0.393 eV per atom

=====

Material: ZrMnRu2
Method: DFT, PBE-GGA
State: relaxed

Cell and atoms, written as POSCAR:
```
ZrMnRu2
1.0
2.8772 0.0000 0.0000
-1.4386 2.4917 0.0000
0.0000 0.0000 26.3372
Zr Mn Ru
3 3 6
Direct
0.0000 0.0000 0.0000
0.3333 0.6667 0.6667
0.6667 0.3333 0.3333
0.0000 0.0000 0.5000
0.3333 0.6667 0.1667
0.6667 0.3333 0.8333
0.0000 0.0000 0.2424
0.0000 0.0000 0.7576
0.3333 0.6667 0.4243
0.3333 0.6667 0.9090
0.6667 0.3333 0.0910
0.6667 0.3333 0.5757
```

symmetry = R-3m (166)
formation energy from the elements = 69 kJ/mol of formula units
final energy = -8.890 eV/atom
DOS(E_F) = 15.7 states/eV/cell